Record 1
# Y2MgAgH, relaxed, DFT PBE
data_Y2MgAgH
_space_group_name_H-M_alt 'P 4/m m m'
_space_group_IT_number 123
_space_group_name_Hall '-P 4 2'
_cell_length_a 4.968
_cell_length_b 4.968
_cell_length_c 4.158
_cell_angle_alpha 90.00
_cell_angle_beta 90.00
_cell_angle_gamma 90.00
loop_
_atom_site_label
_atom_site_type_symbol
_atom_site_fract_x
_atom_site_fract_y
_atom_site_fract_z
_atom_site_occupancy
Y1 Y 0.000 0.500 0.000 1
Mg1 Mg 0.000 0.000 0.500 1
Ag1 Ag 0.500 0.500 0.500 1
H1 H 0.500 0.500 0.000 1
# energy relative to the lowest polymorph listed for this composition	2.0	kJ per mole of atoms
# N(E_F)	3.6	states/eV per cell

***

Record 2
# Y2MgAgH, relaxed, DFT PBE
data_Y2MgAgH
_space_group_name_H-M_alt 'P 4/m m m'
_space_group_IT_number 123
_space_group_name_Hall '-P 4 2'
_cell_length_a 4.914
_cell_length_b 4.914
_cell_length_c 4.206
_cell_angle_alpha 90.00
_cell_angle_beta 90.00
_cell_angle_gamma 90.00
loop_
_atom_site_label
_atom_site_type_symbol
_atom_site_fract_x
_atom_site_fract_y
_atom_site_fract_z
_atom_site_occupancy
Y1 Y 0.000 0.500 0.000 1
Mg1 Mg 0.000 0.000 0.500 1
Ag1 Ag 0.500 0.500 0.500 1
H1 H 0.000 0.000 0.000 1
# energy relative to the lowest polymorph listed for this composition	0.0	kJ per mole of atoms
# N(E_F)	3.5	states/eV per cell

***

Record 3
# Mg2ZrAgH, relaxed, DFT PBE
data_Mg2ZrAgH
_space_group_name_H-M_alt 'P 4/m m m'
_space_group_IT_number 123
_space_group_name_Hall '-P 4 2'
_cell_length_a 4.520
_cell_length_b 4.520
_cell_length_c 4.065
_cell_angle_alpha 90.00
_cell_angle_beta 90.00
_cell_angle_gamma 90.00
loop_
_atom_site_label
_atom_site_type_symbol
_atom_site_fract_x
_atom_site_fract_y
_atom_site_fract_z
_atom_site_occupancy
Mg1 Mg 0.000 0.500 0.000 1
Zr1 Zr 0.000 0.000 0.500 1
Ag1 Ag 0.500 0.500 0.500 1
H1 H 0.000 0.000 0.000 1
# N(E_F)	3.1	states/eV per cell
# raw total energy	-0.1356	Ha/atom

***

Record 4
# Mn2AgH, relaxed, DFT PBE
data_Mn2AgH
_space_group_name_H-M_alt 'F m -3 m'
_space_group_IT_number 225
_space_group_name_Hall '-F 4 2 3'
_cell_length_a 6.105
_cell_length_b 6.105
_cell_length_c 6.105
_cell_angle_alpha 90.00
_cell_angle_beta 90.00
_cell_angle_gamma 90.00
loop_
_atom_site_label
_atom_site_type_symbol
_atom_site_fract_x
_atom_site_fract_y
_atom_site_fract_z
_atom_site_occupancy
Mn1 Mn 0.250 0.250 0.250 1
Ag1 Ag 0.000 0.000 0.000 1
H1 H 0.000 0.000 0.500 1
# energy relative to the lowest polymorph listed for this composition	42.9	kJ per mole of atoms
# N(E_F)	16.0	states/eV per cell

***

Total magnetization for every record listed, in sequence, given in μB per cell: 0.4; 0.5; 0.0; 30.9.